This record from Alexandria via LeMat-Bulk describes a relaxed structure of FeSb2ICl. The functional is PBE.

For the energy relative to the elements, uncorrected, the calculation gives 1172 meV per atom. Its polymorph energy (0 for the lowest one) is 931 meV/atom. Its total energy is -2.85 eV/atom. The density of states at the Fermi level is 8.952 states/eV/f.u. The value obtained for the total moment is 3.43 Bohr magnetons per cell.

The space group is P4/mmm (No. 123) and the conventional cell measures 5.1195, 5.1195 and 6.5524 Å, with angles of 90.00, 90.00 and 90.00 degrees. The inequivalent atoms are Fe at (0.0000, 0.0000, 0.0000), Sb at (0.0000, 0.5000, 0.5000), I at (0.5000, 0.5000, 0.0000) and Cl at (0.5000, 0.5000, 0.5000).